Computed, not measured: a relaxed GaCo2SnO6 crystal at the GGA+U level of DFT.

## Properties
uncorrected energy	-60.6	eV for the cell shown
D(E_F)	0.00	states/eV/atom

The structure in CIF format:
```
data_GaCo2SnO6
_symmetry_space_group_name_H-M 'P 1'
_symmetry_Int_Tables_number 1
_cell_length_a 5.480
_cell_length_b 5.480
_cell_length_c 5.480
_cell_angle_alpha 55.75
_cell_angle_beta 55.75
_cell_angle_gamma 55.75
loop_
_symmetry_equiv_pos_as_xyz
'x,y,z'
loop_
_atom_site_label
_atom_site_fract_x
_atom_site_fract_y
_atom_site_fract_z
_atom_site_occupancy
Ga1 0.000 0.000 0.000 1
Co1 0.306 0.306 0.306 1
Co2 0.789 0.789 0.789 1
Sn1 0.508 0.508 0.508 1
O1 0.105 0.694 0.385 1
O2 0.197 0.584 0.926 1
O3 0.385 0.105 0.694 1
O4 0.584 0.926 0.197 1
O5 0.694 0.385 0.105 1
O6 0.926 0.197 0.584 1
```